Here is CdInTe2 after structural relaxation from Alexandria. Energies are from PBEsol.

Summary:
space group = P4/mmm
total energy = -3.106 eV/atom
E_form (uncorrected) = -115 kJ/mol of formula units
crystal system = tetragonal

Geometry as extended XYZ:
```
4
Lattice="4.277 0.000 0.000 0.000 4.277 0.000 0.000 0.000 6.088" Properties=species:S:1:pos:R:3 pbc="T T T"
In 2.139 2.139 5.326
Te 0.000 0.000 5.327
Cd 0.000 0.000 2.284
Te 2.139 2.139 2.282
```